Entry 1:
# Tb2Mg3Cd4, relaxed, DFT PBE
# density of states at the Fermi level: 4.177 states/eV/f.u.
# energy above the most stable polymorph in this dataset: 0 meV/atom
# ρ: 6.5 g/cm³
# calculated volume: 214 Å³/f.u.
data_Tb2Mg3Cd4
_chemical_formula_sum 'Tb2 Mg3 Cd4'
_space_group_name_H-M_alt 'P 1'
_space_group_IT_number 1
_space_group_name_Hall 'P 1'
_cell_length_a 5.074
_cell_length_b 5.074
_cell_length_c 9.601
_cell_angle_alpha 90.10
_cell_angle_beta 90.10
_cell_angle_gamma 59.95
loop_
_atom_site_label
_atom_site_type_symbol
_atom_site_fract_x
_atom_site_fract_y
_atom_site_fract_z
Tb1 Tb 0.167 0.167 0.213
Tb2 Tb 0.833 0.833 0.787
Mg1 Mg 0.166 0.166 0.569
Mg2 Mg 0.500 0.500 0.000
Mg3 Mg 0.834 0.834 0.431
Cd1 Cd 0.166 0.166 0.893
Cd2 Cd 0.499 0.499 0.656
Cd3 Cd 0.501 0.501 0.344
Cd4 Cd 0.834 0.834 0.107



Entry 2:
# TbMg7Cd4, relaxed, DFT PBE
# density of states at the Fermi level: 6.151 states/eV/f.u.
# ρ: 4.4 g/cm³
# calculated total energy: -18.5 eV for the cell shown
# calculated volume: 294 Å³/f.u.
data_TbMg7Cd4
_chemical_formula_sum 'Tb1 Mg7 Cd4'
_space_group_name_H-M_alt 'P 1'
_space_group_IT_number 1
_space_group_name_Hall 'P 1'
_cell_length_a 6.870
_cell_length_b 6.870
_cell_length_c 10.436
_cell_angle_alpha 121.96
_cell_angle_beta 121.96
_cell_angle_gamma 46.90
loop_
_atom_site_label
_atom_site_type_symbol
_atom_site_fract_x
_atom_site_fract_y
_atom_site_fract_z
Tb1 Tb 0.000 0.000 0.000
Mg1 Mg 0.062 0.062 0.370
Mg2 Mg 0.219 0.219 0.887
Mg3 Mg 0.334 0.334 0.405
Mg4 Mg 0.500 0.500 0.000
Mg5 Mg 0.666 0.666 0.595
Mg6 Mg 0.781 0.781 0.113
Mg7 Mg 0.938 0.938 0.630
Cd1 Cd 0.301 0.301 0.674
Cd2 Cd 0.427 0.427 0.217
Cd3 Cd 0.573 0.573 0.783
Cd4 Cd 0.699 0.699 0.326



Entry 3:
# TbMg3Cd3, relaxed, DFT PBE
# density of states at the Fermi level: 4.145 states/eV/f.u.
# energy above the most stable polymorph in this dataset: 0 meV/atom
# ρ: 5.7 g/cm³
# calculated volume: 166 Å³/f.u.
data_TbMg3Cd3
_chemical_formula_sum 'Tb4 Mg12 Cd12'
_space_group_name_H-M_alt 'P 1'
_space_group_IT_number 1
_space_group_name_Hall 'P 1'
_cell_length_a 8.719
_cell_length_b 8.719
_cell_length_c 8.719
_cell_angle_alpha 90.00
_cell_angle_beta 90.00
_cell_angle_gamma 90.00
loop_
_atom_site_label
_atom_site_type_symbol
_atom_site_fract_x
_atom_site_fract_y
_atom_site_fract_z
Tb1 Tb 0.048 0.452 0.548
Tb2 Tb 0.452 0.548 0.048
Tb3 Tb 0.548 0.048 0.452
Tb4 Tb 0.952 0.952 0.952
Mg1 Mg 0.130 0.630 0.870
Mg2 Mg 0.170 0.170 0.170
Mg3 Mg 0.191 0.809 0.309
Mg4 Mg 0.309 0.191 0.809
Mg5 Mg 0.330 0.830 0.670
Mg6 Mg 0.370 0.370 0.370
Mg7 Mg 0.630 0.870 0.130
Mg8 Mg 0.670 0.330 0.830
Mg9 Mg 0.691 0.691 0.691
Mg10 Mg 0.809 0.309 0.191
Mg11 Mg 0.830 0.670 0.330
Mg12 Mg 0.870 0.130 0.630
Cd1 Cd 0.007 0.312 0.898
Cd2 Cd 0.102 0.507 0.188
Cd3 Cd 0.188 0.102 0.507
Cd4 Cd 0.312 0.898 0.007
Cd5 Cd 0.398 0.493 0.688
Cd6 Cd 0.493 0.688 0.398
Cd7 Cd 0.507 0.188 0.102
Cd8 Cd 0.602 0.993 0.812
Cd9 Cd 0.688 0.398 0.493
Cd10 Cd 0.812 0.602 0.993
Cd11 Cd 0.898 0.007 0.312
Cd12 Cd 0.993 0.812 0.602



Entry 4:
# TbMgCd4, relaxed, DFT PBE
# density of states at the Fermi level: 3.102 states/eV/f.u.
# energy above the most stable polymorph in this dataset: 0 meV/atom
# ρ: 7.5 g/cm³
# calculated volume: 141 Å³/f.u.
data_TbMgCd4
_chemical_formula_sum 'Tb1 Mg1 Cd4'
_space_group_name_H-M_alt 'P 1'
_space_group_IT_number 1
_space_group_name_Hall 'P 1'
_cell_length_a 4.918
_cell_length_b 4.918
_cell_length_c 6.725
_cell_angle_alpha 90.06
_cell_angle_beta 90.06
_cell_angle_gamma 119.98
loop_
_atom_site_label
_atom_site_type_symbol
_atom_site_fract_x
_atom_site_fract_y
_atom_site_fract_z
Tb1 Tb 0.000 0.000 0.000
Mg1 Mg 0.000 0.000 0.500
Cd1 Cd 0.332 0.666 0.748
Cd2 Cd 0.334 0.668 0.252
Cd3 Cd 0.666 0.332 0.748
Cd4 Cd 0.668 0.334 0.252



Entry 5:
# Tb3MgCd5, relaxed, DFT PBE
# density of states at the Fermi level: 6.174 states/eV/f.u.
# ρ: 7.9 g/cm³
# calculated total energy: -44.9 eV for the cell shown
# calculated volume: 224 Å³/f.u.
data_Tb3MgCd5
_chemical_formula_sum 'Tb6 Mg2 Cd10'
_space_group_name_H-M_alt 'P 1'
_space_group_IT_number 1
_space_group_name_Hall 'P 1'
_cell_length_a 9.046
_cell_length_b 9.046
_cell_length_c 6.313
_cell_angle_alpha 90.00
_cell_angle_beta 90.00
_cell_angle_gamma 120.00
loop_
_atom_site_label
_atom_site_type_symbol
_atom_site_fract_x
_atom_site_fract_y
_atom_site_fract_z
Tb1 Tb 0.000 0.347 0.250
Tb2 Tb 0.000 0.653 0.750
Tb3 Tb 0.347 0.000 0.250
Tb4 Tb 0.347 0.347 0.750
Tb5 Tb 0.653 0.000 0.750
Tb6 Tb 0.653 0.653 0.250
Mg1 Mg 0.000 0.000 0.000
Mg2 Mg 0.000 0.000 0.500
Cd1 Cd 0.000 0.317 0.750
Cd2 Cd 0.000 0.683 0.250
Cd3 Cd 0.317 0.000 0.750
Cd4 Cd 0.317 0.317 0.250
Cd5 Cd 0.333 0.667 0.000
Cd6 Cd 0.333 0.667 0.500
Cd7 Cd 0.667 0.333 0.000
Cd8 Cd 0.667 0.333 0.500
Cd9 Cd 0.683 0.000 0.250
Cd10 Cd 0.683 0.683 0.750



Entry 6:
# TbMg2Cd3, relaxed, DFT PBE
# density of states at the Fermi level: 3.030 states/eV/f.u.
# energy above the most stable polymorph in this dataset: 92 meV/atom
# ρ: 6.2 g/cm³
# calculated volume: 146 Å³/f.u.
data_TbMg2Cd3
_chemical_formula_sum 'Tb2 Mg4 Cd6'
_space_group_name_H-M_alt 'P 1'
_space_group_IT_number 1
_space_group_name_Hall 'P 1'
_cell_length_a 6.977
_cell_length_b 6.977
_cell_length_c 6.171
_cell_angle_alpha 90.00
_cell_angle_beta 90.00
_cell_angle_gamma 77.06
loop_
_atom_site_label
_atom_site_type_symbol
_atom_site_fract_x
_atom_site_fract_y
_atom_site_fract_z
Tb1 Tb 0.129 0.871 0.750
Tb2 Tb 0.871 0.129 0.250
Mg1 Mg 0.272 0.272 0.000
Mg2 Mg 0.272 0.272 0.500
Mg3 Mg 0.728 0.728 0.000
Mg4 Mg 0.728 0.728 0.500
Cd1 Cd 0.080 0.647 0.250
Cd2 Cd 0.353 0.920 0.250
Cd3 Cd 0.490 0.510 0.750
Cd4 Cd 0.510 0.490 0.250
Cd5 Cd 0.647 0.080 0.750
Cd6 Cd 0.920 0.353 0.750



Entry 7:
# TbMg2Cd6, relaxed, DFT PBE
# density of states at the Fermi level: 4.270 states/eV/f.u.
# ρ: 6.7 g/cm³
# calculated total energy: -28.5 eV for the cell shown
# calculated volume: 217 Å³/f.u.
data_TbMg2Cd6
_chemical_formula_sum 'Tb2 Mg4 Cd12'
_space_group_name_H-M_alt 'P 1'
_space_group_IT_number 1
_space_group_name_Hall 'P 1'
_cell_length_a 9.469
_cell_length_b 9.469
_cell_length_c 5.049
_cell_angle_alpha 90.00
_cell_angle_beta 90.00
_cell_angle_gamma 73.79
loop_
_atom_site_label
_atom_site_type_symbol
_atom_site_fract_x
_atom_site_fract_y
_atom_site_fract_z
Tb1 Tb 0.191 0.809 0.750
Tb2 Tb 0.809 0.191 0.250
Mg1 Mg 0.257 0.415 0.750
Mg2 Mg 0.415 0.257 0.250
Mg3 Mg 0.585 0.743 0.750
Mg4 Mg 0.743 0.585 0.250
Cd1 Cd 0.036 0.172 0.750
Cd2 Cd 0.053 0.369 0.250
Cd3 Cd 0.172 0.036 0.250
Cd4 Cd 0.235 0.575 0.250
Cd5 Cd 0.369 0.053 0.750
Cd6 Cd 0.425 0.765 0.250
Cd7 Cd 0.575 0.235 0.750
Cd8 Cd 0.631 0.947 0.250
Cd9 Cd 0.765 0.425 0.750
Cd10 Cd 0.828 0.964 0.750
Cd11 Cd 0.947 0.631 0.750
Cd12 Cd 0.964 0.828 0.250



Entry 8:
# TbMg3Cd4, relaxed, DFT PBE
# density of states at the Fermi level: 4.354 states/eV/f.u.
# ρ: 6.2 g/cm³
# calculated total energy: -14.6 eV for the cell shown
# calculated volume: 181 Å³/f.u.
data_TbMg3Cd4
_chemical_formula_sum 'Tb1 Mg3 Cd4'
_space_group_name_H-M_alt 'P 1'
_space_group_IT_number 1
_space_group_name_Hall 'P 1'
_cell_length_a 4.872
_cell_length_b 4.872
_cell_length_c 7.639
_cell_angle_alpha 90.00
_cell_angle_beta 90.00
_cell_angle_gamma 90.00
loop_
_atom_site_label
_atom_site_type_symbol
_atom_site_fract_x
_atom_site_fract_y
_atom_site_fract_z
Tb1 Tb 0.000 0.000 0.000
Mg1 Mg 0.000 0.000 0.500
Mg2 Mg 0.500 0.500 0.000
Mg3 Mg 0.500 0.500 0.500
Cd1 Cd 0.000 0.500 0.261
Cd2 Cd 0.000 0.500 0.739
Cd3 Cd 0.500 0.000 0.261
Cd4 Cd 0.500 0.000 0.739



Entry 9:
# Tb6MgCd3, relaxed, DFT PBE
# density of states at the Fermi level: 10.794 states/eV/f.u.
# ρ: 7.9 g/cm³
# calculated total energy: -67.6 eV for the cell shown
# calculated volume: 276 Å³/f.u.
data_Tb6MgCd3
_chemical_formula_sum 'Tb12 Mg2 Cd6'
_space_group_name_H-M_alt 'P 1'
_space_group_IT_number 1
_space_group_name_Hall 'P 1'
_cell_length_a 9.254
_cell_length_b 5.371
_cell_length_c 11.769
_cell_angle_alpha 90.00
_cell_angle_beta 109.11
_cell_angle_gamma 90.00
loop_
_atom_site_label
_atom_site_type_symbol
_atom_site_fract_x
_atom_site_fract_y
_atom_site_fract_z
Tb1 Tb 0.038 0.250 0.413
Tb2 Tb 0.157 0.750 0.180
Tb3 Tb 0.243 0.250 0.006
Tb4 Tb 0.343 0.750 0.796
Tb5 Tb 0.363 0.250 0.338
Tb6 Tb 0.412 0.250 0.625
Tb7 Tb 0.588 0.750 0.375
Tb8 Tb 0.637 0.750 0.662
Tb9 Tb 0.657 0.250 0.204
Tb10 Tb 0.757 0.750 0.994
Tb11 Tb 0.843 0.250 0.820
Tb12 Tb 0.962 0.750 0.587
Mg1 Mg 0.458 0.750 0.087
Mg2 Mg 0.542 0.250 0.913
Cd1 Cd 0.043 0.750 0.880
Cd2 Cd 0.125 0.250 0.719
Cd3 Cd 0.272 0.750 0.477
Cd4 Cd 0.728 0.250 0.523
Cd5 Cd 0.875 0.750 0.281
Cd6 Cd 0.957 0.250 0.120



Which of these has the lowest density of states at the Fermi level? TbMg2Cd3



Among the records above, which one has the lowest density of states at the Fermi level? TbMg2Cd3



Which of these has the highest density of states at the Fermi level? Tb6MgCd3



Among the records above, which one has the lowest calculated volume? TbMgCd4